Compound: DyMgZr
Source: the Alexandria database
Functional: PBE-GGA
Structure: optimized geometry

a b c (Å): 3.3687 3.3687 7.1977
angles (deg): 103.53 103.53 90.00
Fractional coordinates of all 3 atoms:
1 Mg 0.6585 0.6585 0.3169
2 Zr 0.0030 0.0030 0.0061
3 Dy 0.3385 0.3385 0.6770

Output
Symmetry = I4mm (107)
Magnetic moment = 0.00 μB per cell
Polymorph energy (0 for the lowest one) = 10 meV per atom